# CoSeBr2

A geometry-optimized CoSeBr2 structure (PBE, Alexandria via LeMat-Bulk).

Lattice parameters (Å, degrees): 3.728 3.728 8.331 103.30 103.30 60.11
Site moments in Bohr magnetons follow the coordinates.
Fractional coordinates of all 4 atoms:
Br 0.642 0.642 0.422  0.07
Se 0.750 0.750 0.750  -0.30
Br 0.858 0.858 0.078  0.07
Co 0.250 0.250 0.250  1.89

- energy relative to the elements, uncorrected (kJ per mole of atoms) = 19.2
- mass density (g/cm³) = 5.110
- SG = No. 12